Entry 1:
## Cs4Tm3PaSe8 (PBE-GGA)

Data for a relaxed Cs4Tm3PaSe8 crystal.

Cell: 8.462 9.713 8.463 Å, 115.86 120.00 90.00°
Each line ends with the local moment (μB).
Fractional coordinates of all 16 atoms:
Se (0.728, 0.683, 0.455)  0.00
Se (0.230, 0.685, 0.955)  -0.01
Cs (0.500, 0.000, 0.000)  0.00
Pa (0.000, 0.500, 0.000)  1.30
Se (0.770, 0.315, 0.045)  -0.01
Tm (0.500, 0.500, 0.500)  0.05
Se (0.275, 0.315, 0.045)  -0.01
Se (0.230, 0.685, 0.461)  -0.01
Se (0.272, 0.317, 0.545)  0.00
Cs (0.500, 0.000, 0.500)  0.00
Se (0.725, 0.685, 0.955)  -0.01
Se (0.770, 0.315, 0.539)  -0.01
Cs (0.000, 0.000, 0.000)  0.00
Cs (0.000, 0.000, 0.500)  0.00
Tm (0.000, 0.500, 0.500)  0.05
Tm (0.500, 0.500, 0.000)  0.05

Calculated values
The value obtained for the volume is 520 Å³ per cell. For the total moment, the calculation gives 1.72 μB per formula unit. The calculation puts the uncorrected energy at -4.972 eV/atom. Its crystal system is trigonal. As for the energy relative to the elements, uncorrected: -1585 meV/atom. Its density of states at the Fermi level is 9.14 states/eV/cell.

Entry 2:
## AcPrNd2As4 (PBE-GGA)

Data for a relaxed AcPrNd2As4 crystal.

Cell: 4.354 7.540 7.540 Å, 70.60 90.00 90.00°
Fractional coordinates of all 8 atoms:
As (0.500, 0.244, 0.747)
As (0.000, 0.760, 0.741)
As (0.500, 0.756, 0.253)
Ac (0.500, 0.500, 0.000)
Pr (0.000, 0.500, 0.500)
Nd (0.000, 0.000, 0.000)
Nd (0.500, 0.000, 0.500)
As (0.000, 0.240, 0.259)

Calculated values
The value obtained for the volume is 233 Å³ per cell. For the total moment, the calculation gives 0.00 μB per formula unit. The calculation puts the uncorrected energy at -6.113 eV/atom. Its crystal system is monoclinic. Its density of states at the Fermi level is 0.72 states/eV/cell. The formation enthalpy at 0 K is -11.883 eV/f.u.

Entry 3:
## Ho2In3Ag (PBE-GGA)

Data for a relaxed Ho2In3Ag crystal.

Cell: 3.520 4.898 8.495 Å, 90.00 90.00 90.00°
Fractional coordinates of all 6 atoms:
In (0.500, 0.000, 0.176)
In (0.500, 0.000, 0.837)
Ag (0.500, 0.500, 0.329)
Ho (0.000, 0.000, 0.499)
In (0.500, 0.500, 0.656)
Ho (0.000, 0.500, 0.003)

Calculated values
The value obtained for the volume is 146 Å³ per cell. For the total moment, the calculation gives 0.00 μB per formula unit. The calculation puts the uncorrected energy at -3.772 eV/atom. Its crystal system is orthorhombic. Its density of states at the Fermi level is 3.87 states/eV/cell. The formation enthalpy at 0 K is -2.411 eV/f.u.

Entry 4:
## NdDy3Ho2Er6 (PBE-GGA)

Data for a relaxed NdDy3Ho2Er6 crystal.

Cell: 6.113 6.113 11.696 Å, 94.99 94.99 119.94°
Fractional coordinates of all 12 atoms:
Er (0.582, 0.916, 0.749)
Er (0.250, 0.250, 0.749)
Dy (0.167, 0.833, 0.500)
Er (0.418, 0.084, 0.251)
Er (0.750, 0.750, 0.251)
Ho (0.667, 0.333, 0.000)
Er (0.916, 0.582, 0.749)
Ho (0.333, 0.667, 0.000)
Dy (0.833, 0.167, 0.500)
Nd (0.000, 0.000, 0.000)
Dy (0.500, 0.500, 0.500)
Er (0.084, 0.418, 0.251)

Calculated values
The value obtained for the volume is 373 Å³ per cell. For the total moment, the calculation gives 0.00 μB per formula unit. The calculation puts the uncorrected energy at -4.573 eV/atom. Its crystal system is monoclinic. Its density of states at the Fermi level is 15.68 states/eV/cell. The formation enthalpy at 0 K is 0.234 eV/f.u.

Entry 5:
## Ge2IrO2 (PBE-GGA)

Data for a relaxed Ge2IrO2 crystal.

Cell: 7.301 7.301 2.926 Å, 90.00 90.00 90.00°
Each line ends with the local moment (μB).
Fractional coordinates of all 10 atoms:
Ge (0.277, 0.223, 0.000)  0.00
O (0.118, 0.618, 0.500)  0.00
Ge (0.223, 0.723, 0.000)  0.00
Ir (0.500, 0.500, 0.000)  0.51
O (0.882, 0.382, 0.500)  0.00
Ir (0.000, 0.000, 0.000)  0.51
Ge (0.777, 0.277, 0.000)  0.00
O (0.618, 0.882, 0.500)  0.00
O (0.382, 0.118, 0.500)  0.00
Ge (0.723, 0.777, 0.000)  0.00

Calculated values
The value obtained for the volume is 156 Å³ per cell. For the total moment, the calculation gives 0.51 μB per formula unit. The calculation puts the uncorrected energy at -5.942 eV/atom. Its crystal system is tetragonal. As for the energy relative to the elements, uncorrected: -339 meV/atom. Its density of states at the Fermi level is 4.11 states/eV/cell.

Entry 6:
## BaHgBi4 (PBE-GGA)

Data for a relaxed BaHgBi4 crystal.

Cell: 6.717 6.717 6.717 Å, 60.00 60.00 60.00°
Fractional coordinates of all 6 atoms:
Bi (0.627, 0.627, 0.627)
Bi (0.120, 0.627, 0.627)
Hg (0.000, 0.000, 0.000)
Ba (0.250, 0.250, 0.250)
Bi (0.627, 0.120, 0.627)
Bi (0.627, 0.627, 0.120)

Calculated values
The value obtained for the volume is 214 Å³ per cell. For the total moment, the calculation gives 0.00 μB per formula unit. The calculation puts the uncorrected energy at -3.228 eV/atom. Its crystal system is cubic. Its density of states at the Fermi level is 6.24 states/eV/cell. The formation enthalpy at 0 K is -1.620 eV/f.u.